Record 1
A relaxed Ho3In crystal, computed with PBE-GGA.

## Properties
Formation energy from the elements: -118 meV/atom
Offset from the most stable computed form: 147 meV per atom
Spin magnetization: 3.8 μB/cell
Total DFT energy (no corrections): -4.236 eV per atom

CIF file:
```
data_Ho3In
_cell_length_a 7.6675
_cell_length_b 7.6675
_cell_length_c 7.6675
_cell_angle_alpha 90.00
_cell_angle_beta 90.00
_cell_angle_gamma 90.00
_symmetry_space_group_name_H-M 'F m -3 m'
_symmetry_Int_Tables_number 225
_symmetry_space_group_name_Hall '-F 4 2 3'
loop_
_atom_site_label
_atom_site_type_symbol
_atom_site_fract_x
_atom_site_fract_y
_atom_site_fract_z
Ho1 Ho 0.0000 0.0000 0.0000
Ho2 Ho 0.2500 0.2500 0.2500
In1 In 0.0000 0.0000 0.5000
```


Record 2
A relaxed Ho8In crystal, computed with PBE-GGA.

## Properties
Formation energy from the elements: -75 meV/atom
Offset from the most stable computed form: 0 meV per atom
Spin magnetization: 0.0 μB/cell
Total DFT energy (no corrections): -4.448 eV per atom

CIF file:
```
data_Ho8In
_cell_length_a 10.5234
_cell_length_b 10.5234
_cell_length_c 4.8653
_cell_angle_alpha 90.00
_cell_angle_beta 90.00
_cell_angle_gamma 90.00
_symmetry_space_group_name_H-M 'I 4/m m m'
_symmetry_Int_Tables_number 139
_symmetry_space_group_name_Hall '-I 4 2'
loop_
_atom_site_label
_atom_site_type_symbol
_atom_site_fract_x
_atom_site_fract_y
_atom_site_fract_z
Ho1 Ho 0.0000 0.3348 0.0000
Ho2 Ho 0.1619 0.1619 0.5000
In1 In 0.0000 0.0000 0.0000
```


Record 3
A relaxed Ho7In3 crystal, computed with PBE-GGA.

## Properties
Formation energy from the elements: -307 meV/atom
Spin magnetization: 0.0 μB/cell
Total DFT energy (no corrections): -4.333 eV per atom

CIF file:
```
data_Ho7In3
_cell_length_a 17.0399
_cell_length_b 5.1747
_cell_length_c 6.7419
_cell_angle_alpha 90.00
_cell_angle_beta 107.85
_cell_angle_gamma 90.00
_symmetry_space_group_name_H-M 'C 1 2/m 1'
_symmetry_Int_Tables_number 12
_symmetry_space_group_name_Hall '-C 2y'
loop_
_atom_site_label
_atom_site_type_symbol
_atom_site_fract_x
_atom_site_fract_y
_atom_site_fract_z
Ho1 Ho 0.0000 0.0000 0.0000
Ho2 Ho 0.0895 0.5000 0.3614
Ho3 Ho 0.1255 0.5000 0.8967
Ho4 Ho 0.1991 0.0000 0.6704
In1 In 0.0000 0.0000 0.5000
In2 In 0.1936 0.0000 0.1883
```


Record 4
A relaxed Ho3In crystal, computed with PBE-GGA.

## Properties
Formation energy from the elements: -228 meV/atom
Offset from the most stable computed form: 36 meV per atom
Spin magnetization: 0.0 μB/cell
Total DFT energy (no corrections): -4.346 eV per atom

CIF file:
```
data_Ho3In
_cell_length_a 4.7252
_cell_length_b 4.7252
_cell_length_c 10.0487
_cell_angle_alpha 90.00
_cell_angle_beta 90.00
_cell_angle_gamma 90.00
_symmetry_space_group_name_H-M 'I 4/m m m'
_symmetry_Int_Tables_number 139
_symmetry_space_group_name_Hall '-I 4 2'
loop_
_atom_site_label
_atom_site_type_symbol
_atom_site_fract_x
_atom_site_fract_y
_atom_site_fract_z
Ho1 Ho 0.0000 0.0000 0.0000
Ho2 Ho 0.0000 0.5000 0.2500
In1 In 0.0000 0.0000 0.5000
```


- Which value of total DFT energy (no corrections) does entry 3 give?
  -4.333 eV per atom


- total DFT energy (no corrections) of number 4 (Ho3In)?
  -4.346 eV per atom


What did the second record say?
A relaxed Ho8In crystal, computed with PBE-GGA.

## Properties
Formation energy from the elements: -75 meV/atom
Offset from the most stable computed form: 0 meV per atom
Spin magnetization: 0.0 μB/cell
Total DFT energy (no corrections): -4.448 eV per atom

CIF file:
```
data_Ho8In
_cell_length_a 10.5234
_cell_length_b 10.5234
_cell_length_c 4.8653
_cell_angle_alpha 90.00
_cell_angle_beta 90.00
_cell_angle_gamma 90.00
_symmetry_space_group_name_H-M 'I 4/m m m'
_symmetry_Int_Tables_number 139
_symmetry_space_group_name_Hall '-I 4 2'
loop_
_atom_site_label
_atom_site_type_symbol
_atom_site_fract_x
_atom_site_fract_y
_atom_site_fract_z
Ho1 Ho 0.0000 0.3348 0.0000
Ho2 Ho 0.1619 0.1619 0.5000
In1 In 0.0000 0.0000 0.0000
```